(1)
DFT (PBE) results for GdPaSb2 after structural relaxation.

Cell lengths 3.782, 3.782, 7.527 Å; angles 90.00, 90.00, 90.00 degrees
Positions (direct):
Gd  0.500  0.500  0.500
Pa  0.500  0.500  0.000
Sb  0.000  0.000  0.759
Sb  0.000  0.000  0.241

- SG = No. 123
- raw total energy (eV/atom) = -8.62
- relative energy among the computed polymorphs (eV/f.u.) = 0.00
- raw formation energy (meV/atom) = -669

***

(2)
DFT (PBE) results for GdPaSb after structural relaxation.

Cell lengths 3.955, 3.955, 6.005 Å; angles 109.23, 109.23, 90.00 degrees
Positions (direct):
Pa  0.934  0.934  0.869
Gd  0.634  0.634  0.268
Sb  0.281  0.281  0.563

- SG = No. 107
- raw total energy (eV/atom) = -9.50
- relative energy among the computed polymorphs (eV/f.u.) = 0.00
- raw formation energy (meV/atom) = -268